# 1
Density functional theory data (PBE) for an optimized crystal structure of Pm3PCl3.

```
data_Pm3PCl3
_chemical_formula_sum 'Pm24 P8 Cl24'
_cell_length_a 11.487
_cell_length_b 11.487
_cell_length_c 11.487
_cell_angle_alpha 90.00
_cell_angle_beta 90.00
_cell_angle_gamma 90.00
_space_group_name_H-M_alt 'I 41 3 2'
_space_group_IT_number 214
_space_group_name_Hall 'I 4bd 2c 3'
loop_
_atom_site_label
_atom_site_fract_x
_atom_site_fract_y
_atom_site_fract_z
Pm1 0.115 0.365 0.125
P1 0.125 0.125 0.125
Cl1 0.123 0.127 0.625
```

N(E_F) ... 14.7 states/eV/cell
Calculated total energy ... -5.450 eV per atom
M_tot ... 0.00 μB per cell
Crystal system ... cubic

# 2
Density functional theory data (PBE) for an optimized crystal structure of Dy5Cd4Pt.

```
data_Dy5Cd4Pt
_chemical_formula_sum 'Dy5 Cd4 Pt1'
_cell_length_a 3.668
_cell_length_b 3.668
_cell_length_c 18.636
_cell_angle_alpha 90.00
_cell_angle_beta 90.00
_cell_angle_gamma 90.00
_space_group_name_H-M_alt 'P 4/m m m'
_space_group_IT_number 123
_space_group_name_Hall '-P 4 2'
loop_
_atom_site_label
_atom_site_fract_x
_atom_site_fract_y
_atom_site_fract_z
Dy1 0.000 0.000 0.000
Dy2 0.000 0.000 0.206
Dy3 0.000 0.000 0.413
Cd1 0.500 0.500 0.103
Cd2 0.500 0.500 0.306
Pt1 0.500 0.500 0.500
```

N(E_F) ... 8.6 states/eV/cell
DFT formation energy ... -5.06 eV per formula unit
Calculated total energy ... -3.778 eV per atom
M_tot ... 0.00 μB per cell
Crystal system ... tetragonal

# 3
Density functional theory data (PBE) for an optimized crystal structure of DySc3Ru.

```
data_DySc3Ru
_chemical_formula_sum 'Dy4 Sc12 Ru4'
_cell_length_a 11.178
_cell_length_b 7.982
_cell_length_c 7.483
_cell_angle_alpha 90.00
_cell_angle_beta 131.99
_cell_angle_gamma 90.00
_space_group_name_H-M_alt 'C 1 2/m 1'
_space_group_IT_number 12
_space_group_name_Hall '-C 2y'
loop_
_atom_site_label
_atom_site_fract_x
_atom_site_fract_y
_atom_site_fract_z
Dy1 0.053 0.000 0.326
Sc1 0.059 0.500 0.257
Sc2 0.228 0.305 0.775
Ru1 0.243 0.500 0.112
```

N(E_F) ... 26.5 states/eV/cell
Offset from the most stable computed form ... 0.00 kcal/mol of atoms
DFT formation energy ... -0.98 eV per formula unit
Calculated total energy ... -6.771 eV per atom
M_tot ... 1.82 μB per cell
Crystal system ... monoclinic

# 4
Density functional theory data (PBE) for an optimized crystal structure of NaCu6As2.

```
data_NaCu6As2
_chemical_formula_sum 'Na1 Cu6 As2'
_cell_length_a 4.034
_cell_length_b 4.034
_cell_length_c 8.746
_cell_angle_alpha 90.00
_cell_angle_beta 90.00
_cell_angle_gamma 90.00
_space_group_name_H-M_alt 'P 4/m m m'
_space_group_IT_number 123
_space_group_name_Hall '-P 4 2'
loop_
_atom_site_label
_atom_site_fract_x
_atom_site_fract_y
_atom_site_fract_z
Na1 0.000 0.000 0.000
Cu1 0.000 0.000 0.500
Cu2 0.000 0.500 0.324
Cu3 0.500 0.500 0.500
As1 0.500 0.500 0.174
```

N(E_F) ... 4.3 states/eV/cell
DFT formation energy ... -0.64 eV per formula unit
Calculated total energy ... -3.982 eV per atom
M_tot ... 0.00 μB per cell
Crystal system ... tetragonal

# 5
Density functional theory data (PBE) for an optimized crystal structure of Ca2MgGa2.

```
data_Ca2MgGa2
_chemical_formula_sum 'Ca8 Mg4 Ga8'
_cell_length_a 11.775
_cell_length_b 4.517
_cell_length_c 10.998
_cell_angle_alpha 90.00
_cell_angle_beta 118.53
_cell_angle_gamma 90.00
_space_group_name_H-M_alt 'C 1 2/m 1'
_space_group_IT_number 12
_space_group_name_Hall '-C 2y'
loop_
_atom_site_label
_atom_site_fract_x
_atom_site_fract_y
_atom_site_fract_z
Ca1 0.010 0.000 0.181
Ca2 0.184 0.000 0.604
Mg1 0.222 0.500 0.873
Ga1 0.017 0.500 0.389
Ga2 0.125 0.500 0.069
```

N(E_F) ... 12.1 states/eV/cell
DFT formation energy ... -1.91 eV per formula unit
Calculated total energy ... -2.713 eV per atom
M_tot ... 0.00 μB per cell
Crystal system ... monoclinic

# 6
Density functional theory data (PBE) for an optimized crystal structure of InCoHg2.

```
data_InCoHg2
_chemical_formula_sum 'In2 Co2 Hg4'
_cell_length_a 4.115
_cell_length_b 4.115
_cell_length_c 9.054
_cell_angle_alpha 90.00
_cell_angle_beta 90.00
_cell_angle_gamma 90.00
_space_group_name_H-M_alt 'I 4/m m m'
_space_group_IT_number 139
_space_group_name_Hall '-I 4 2'
loop_
_atom_site_label
_atom_site_fract_x
_atom_site_fract_y
_atom_site_fract_z
In1 0.000 0.000 0.000
Co1 0.000 0.000 0.500
Hg1 0.000 0.500 0.250
```

N(E_F) ... 5.6 states/eV/cell
DFT formation energy ... 1.62 eV per formula unit
Calculated total energy ... -2.206 eV per atom
M_tot ... 0.39 μB per cell
Crystal system ... tetragonal

# 7
Density functional theory data (PBE) for an optimized crystal structure of Al2NiH6.

```
data_Al2NiH6
_chemical_formula_sum 'Al8 Ni4 H24'
_cell_length_a 6.262
_cell_length_b 6.262
_cell_length_c 6.262
_cell_angle_alpha 90.00
_cell_angle_beta 90.00
_cell_angle_gamma 90.00
_space_group_name_H-M_alt 'F m -3 m'
_space_group_IT_number 225
_space_group_name_Hall '-F 4 2 3'
loop_
_atom_site_label
_atom_site_fract_x
_atom_site_fract_y
_atom_site_fract_z
Al1 0.250 0.250 0.250
Ni1 0.000 0.000 0.000
H1 0.000 0.000 0.269
```

N(E_F) ... 13.8 states/eV/cell
Calculated total energy ... -3.421 eV per atom
M_tot ... 0.00 μB per cell
Crystal system ... cubic

# 8
Density functional theory data (PBE) for an optimized crystal structure of MnP4Pt.

```
data_MnP4Pt
_chemical_formula_sum 'Mn4 P16 Pt4'
_cell_length_a 7.110
_cell_length_b 7.110
_cell_length_c 7.110
_cell_angle_alpha 90.00
_cell_angle_beta 90.00
_cell_angle_gamma 90.00
_space_group_name_H-M_alt 'F -4 3 m'
_space_group_IT_number 216
_space_group_name_Hall 'F -4 2 3'
loop_
_atom_site_label
_atom_site_fract_x
_atom_site_fract_y
_atom_site_fract_z
Mn1 0.000 0.000 0.000
P1 0.126 0.126 0.626
Pt1 0.250 0.250 0.250
```

N(E_F) ... 12.7 states/eV/cell
DFT formation energy ... 3.62 eV per formula unit
Calculated total energy ... -5.538 eV per atom
M_tot ... 16.47 μB per cell
Crystal system ... cubic

# 9
Density functional theory data (PBE) for an optimized crystal structure of TaPSe2Cl.

```
data_TaPSe2Cl
_chemical_formula_sum 'Ta1 P1 Se2 Cl1'
_cell_length_a 4.957
_cell_length_b 4.957
_cell_length_c 4.322
_cell_angle_alpha 90.00
_cell_angle_beta 90.00
_cell_angle_gamma 90.00
_space_group_name_H-M_alt 'P 4/m m m'
_space_group_IT_number 123
_space_group_name_Hall '-P 4 2'
loop_
_atom_site_label
_atom_site_fract_x
_atom_site_fract_y
_atom_site_fract_z
Ta1 0.000 0.000 0.000
P1 0.500 0.500 0.500
Se1 0.000 0.500 0.500
Cl1 0.500 0.500 0.000
```

N(E_F) ... 4.0 states/eV/cell
Calculated total energy ... -4.443 eV per atom
M_tot ... 2.70 μB per cell
Crystal system ... tetragonal

# 10
Density functional theory data (PBE) for an optimized crystal structure of SmScInRu.

```
data_SmScInRu
_chemical_formula_sum 'Sm4 Sc4 In4 Ru4'
_cell_length_a 7.049
_cell_length_b 7.049
_cell_length_c 7.049
_cell_angle_alpha 90.00
_cell_angle_beta 90.00
_cell_angle_gamma 90.00
_space_group_name_H-M_alt 'F -4 3 m'
_space_group_IT_number 216
_space_group_name_Hall 'F -4 2 3'
loop_
_atom_site_label
_atom_site_fract_x
_atom_site_fract_y
_atom_site_fract_z
Sm1 0.000 0.000 0.000
Sc1 0.000 0.000 0.500
In1 0.250 0.250 0.250
Ru1 0.250 0.250 0.750
```

N(E_F) ... 11.6 states/eV/cell
Offset from the most stable computed form ... 3.75 kcal/mol of atoms
DFT formation energy ... -1.18 eV per formula unit
Calculated total energy ... -6.061 eV per atom
M_tot ... 0.00 μB per cell
Crystal system ... cubic

# 11
Density functional theory data (PBE) for an optimized crystal structure of Ba2PdSeN.

```
data_Ba2PdSeN
_chemical_formula_sum 'Ba2 Pd1 Se1 N1'
_cell_length_a 5.739
_cell_length_b 5.739
_cell_length_c 3.963
_cell_angle_alpha 90.00
_cell_angle_beta 90.00
_cell_angle_gamma 90.00
_space_group_name_H-M_alt 'P 4/m m m'
_space_group_IT_number 123
_space_group_name_Hall '-P 4 2'
loop_
_atom_site_label
_atom_site_fract_x
_atom_site_fract_y
_atom_site_fract_z
Ba1 0.000 0.500 0.000
Pd1 0.000 0.000 0.500
Se1 0.500 0.500 0.500
N1 0.000 0.000 0.000
```

N(E_F) ... 1.2 states/eV/cell
Calculated total energy ... -5.160 eV per atom
M_tot ... 0.00 μB per cell
Crystal system ... tetragonal

# 12
Density functional theory data (PBE) for an optimized crystal structure of CaMgHgGe.

```
data_CaMgHgGe
_chemical_formula_sum 'Ca4 Mg4 Hg4 Ge4'
_cell_length_a 7.170
_cell_length_b 7.170
_cell_length_c 7.170
_cell_angle_alpha 90.00
_cell_angle_beta 90.00
_cell_angle_gamma 90.00
_space_group_name_H-M_alt 'F -4 3 m'
_space_group_IT_number 216
_space_group_name_Hall 'F -4 2 3'
loop_
_atom_site_label
_atom_site_fract_x
_atom_site_fract_y
_atom_site_fract_z
Ca1 0.000 0.000 0.000
Mg1 0.000 0.000 0.500
Hg1 0.250 0.250 0.250
Ge1 0.250 0.250 0.750
```

N(E_F) ... 1.9 states/eV/cell
DFT formation energy ... -1.63 eV per formula unit
Calculated total energy ... -2.537 eV per atom
M_tot ... 0.00 μB per cell
Crystal system ... cubic